No. 1
# PBE FeRh2Pb, relaxed
# ρ	12.0	g cm⁻³
# DOS(E_F)	3.01	states/eV per cell
# energy of formation from the pure elements	95	meV/atom
data_FeRh2Pb
_chemical_formula_sum 'Fe1 Rh2 Pb1'
_space_group_name_H-M_alt 'P 4/m m m'
_space_group_IT_number 123
_space_group_name_Hall '-P 4 2'
_cell_length_a 4.2400
_cell_length_b 4.2400
_cell_length_c 3.6003
_cell_angle_alpha 90.00
_cell_angle_beta 90.00
_cell_angle_gamma 90.00
loop_
_atom_site_label
_atom_site_fract_x
_atom_site_fract_y
_atom_site_fract_z
_atom_site_occupancy
Fe1 0.0000 0.0000 0.0000 1
Rh1 0.0000 0.5000 0.5000 1
Pb1 0.5000 0.5000 0.0000 1

No. 2
# PBE FeRh2Pb, relaxed
# ρ	12.1	g cm⁻³
# DOS(E_F)	9.71	states/eV per cell
# energy of formation from the pure elements	168	meV/atom
data_FeRh2Pb
_chemical_formula_sum 'Fe2 Rh4 Pb2'
_space_group_name_H-M_alt 'I m m 2'
_space_group_IT_number 44
_cell_length_a 3.9475
_cell_length_b 3.9577
_cell_length_c 8.2054
_cell_angle_alpha 90.00
_cell_angle_beta 90.00
_cell_angle_gamma 90.00
loop_
_space_group_symop_operation_xyz
'x,y,z'
'-x,-y,z'
'-x,y,z'
'x,-y,z'
'x+1/2,y+1/2,z+1/2'
'-x+1/2,-y+1/2,z+1/2'
'-x+1/2,y+1/2,z+1/2'
'x+1/2,-y+1/2,z+1/2'
loop_
_atom_site_label
_atom_site_fract_x
_atom_site_fract_y
_atom_site_fract_z
_atom_site_occupancy
Fe1 0.0000 0.0000 0.0000 1
Rh1 0.0000 0.0000 0.4998 1
Rh2 0.0000 0.5000 0.7495 1
Pb1 0.0000 0.5000 0.2500 1

No. 3
# PBE FeRh2Pb, relaxed
# ρ	11.6	g cm⁻³
# DOS(E_F)	4.32	states/eV per cell
# energy of formation from the pure elements	231	meV/atom
data_FeRh2Pb
_chemical_formula_sum 'Fe1 Rh2 Pb1'
_space_group_name_H-M_alt 'P 4 m m'
_space_group_IT_number 99
_cell_length_a 3.4106
_cell_length_b 3.4106
_cell_length_c 5.7706
_cell_angle_alpha 90.00
_cell_angle_beta 90.00
_cell_angle_gamma 90.00
loop_
_space_group_symop_operation_xyz
'x,y,z'
'-y,x,z'
'-x,-y,z'
'y,-x,z'
'-x,y,z'
'y,x,z'
'x,-y,z'
'-y,-x,z'
loop_
_atom_site_label
_atom_site_fract_x
_atom_site_fract_y
_atom_site_fract_z
_atom_site_occupancy
Fe1 0.0000 0.0000 0.0000 1
Rh1 0.0000 0.0000 0.5608 1
Rh2 0.5000 0.5000 0.8450 1
Pb1 0.5000 0.5000 0.3226 1

No. 4
# PBE FeRhPb2, relaxed
# ρ	11.6	g cm⁻³
# DOS(E_F)	2.97	states/eV per cell
# energy of formation from the pure elements	210	meV/atom
# energy above the lowest structure with this stoichiometry	0.062	eV per atom
data_FeRhPb2
_chemical_formula_sum 'Fe1 Rh1 Pb2'
_space_group_name_H-M_alt 'P 1 m 1'
_space_group_IT_number 6
_cell_length_a 3.8185
_cell_length_b 4.2221
_cell_length_c 5.4422
_cell_angle_alpha 90.00
_cell_angle_beta 110.44
_cell_angle_gamma 90.00
loop_
_space_group_symop_operation_xyz
'x,y,z'
'x,-y,z'
loop_
_atom_site_label
_atom_site_fract_x
_atom_site_fract_y
_atom_site_fract_z
_atom_site_occupancy
Fe1 0.0000 0.0000 0.0000 1
Rh1 0.8660 0.5000 0.7306 1
Pb1 0.2825 0.0000 0.5637 1
Pb2 0.5777 0.5000 0.1546 1

No. 5
# PBE FeRh2Pb, relaxed
# ρ	12.1	g cm⁻³
# DOS(E_F)	22.52	states/eV per cell
# energy of formation from the pure elements	250	meV/atom
data_FeRh2Pb
_chemical_formula_sum 'Fe4 Rh8 Pb4'
_space_group_name_H-M_alt 'F -4 3 m'
_space_group_IT_number 216
_space_group_name_Hall 'F -4 2 3'
_cell_length_a 6.3547
_cell_length_b 6.3547
_cell_length_c 6.3547
_cell_angle_alpha 90.00
_cell_angle_beta 90.00
_cell_angle_gamma 90.00
loop_
_atom_site_label
_atom_site_fract_x
_atom_site_fract_y
_atom_site_fract_z
_atom_site_occupancy
Fe1 0.0000 0.0000 0.0000 1
Rh1 0.0000 0.0000 0.5000 1
Rh2 0.2500 0.2500 0.7500 1
Pb1 0.2500 0.2500 0.2500 1

No. 6
# PBE Fe2RhPb, relaxed
# ρ	11.4	g cm⁻³
# DOS(E_F)	4.30	states/eV per cell
# energy of formation from the pure elements	239	meV/atom
data_Fe2RhPb
_chemical_formula_sum 'Fe4 Rh2 Pb2'
_space_group_name_H-M_alt 'I -4 m 2'
_space_group_IT_number 119
_space_group_name_Hall 'I -4 -2'
_cell_length_a 4.0574
_cell_length_b 4.0574
_cell_length_c 7.4482
_cell_angle_alpha 90.00
_cell_angle_beta 90.00
_cell_angle_gamma 90.00
loop_
_atom_site_label
_atom_site_fract_x
_atom_site_fract_y
_atom_site_fract_z
_atom_site_occupancy
Fe1 0.0000 0.0000 0.0000 1
Fe2 0.0000 0.5000 0.2500 1
Rh1 0.0000 0.5000 0.7500 1
Pb1 0.0000 0.0000 0.5000 1

No. 7
# PBE Fe2RhPb, relaxed
# ρ	10.2	g cm⁻³
# DOS(E_F)	15.78	states/eV per cell
# energy of formation from the pure elements	561	meV/atom
data_Fe2RhPb
_chemical_formula_sum 'Fe8 Rh4 Pb4'
_space_group_name_H-M_alt 'I -4 2 d'
_space_group_IT_number 122
_space_group_name_Hall 'I -4 2bw'
_cell_length_a 3.8059
_cell_length_b 3.8059
_cell_length_c 18.9280
_cell_angle_alpha 90.00
_cell_angle_beta 90.00
_cell_angle_gamma 90.00
loop_
_atom_site_label
_atom_site_fract_x
_atom_site_fract_y
_atom_site_fract_z
_atom_site_occupancy
Fe1 0.2183 0.2500 0.1250 1
Rh1 0.0000 0.0000 0.0000 1
Pb1 0.0000 0.0000 0.5000 1

No. 8
# PBE FeRh2Pb, relaxed
# ρ	12.0	g cm⁻³
# DOS(E_F)	3.30	states/eV per cell
# energy of formation from the pure elements	90	meV/atom
data_FeRh2Pb
_chemical_formula_sum 'Fe1 Rh2 Pb1'
_space_group_name_H-M_alt 'P 1 2/m 1'
_space_group_IT_number 10
_cell_length_a 3.0477
_cell_length_b 3.5156
_cell_length_c 6.0721
_cell_angle_alpha 90.00
_cell_angle_beta 90.27
_cell_angle_gamma 90.00
loop_
_space_group_symop_operation_xyz
'x,y,z'
'-x,-y,-z'
'-x,y,-z'
'x,-y,z'
loop_
_atom_site_label
_atom_site_fract_x
_atom_site_fract_y
_atom_site_fract_z
_atom_site_occupancy
Fe1 0.0000 0.0000 0.0000 1
Rh1 0.4992 0.5000 0.7765 1
Pb1 0.0000 0.0000 0.5000 1

No. 9
# PBE FeRh2Pb, relaxed
# ρ	11.8	g cm⁻³
# DOS(E_F)	5.08	states/eV per cell
# energy of formation from the pure elements	156	meV/atom
data_FeRh2Pb
_chemical_formula_sum 'Fe2 Rh4 Pb2'
_space_group_name_H-M_alt 'C 1 m 1'
_space_group_IT_number 8
_cell_length_a 9.5085
_cell_length_b 3.1632
_cell_length_c 4.5499
_cell_angle_alpha 90.00
_cell_angle_beta 105.98
_cell_angle_gamma 90.00
loop_
_space_group_symop_operation_xyz
'x,y,z'
'x,-y,z'
'x+1/2,y+1/2,z'
'x+1/2,-y+1/2,z'
loop_
_atom_site_label
_atom_site_fract_x
_atom_site_fract_y
_atom_site_fract_z
_atom_site_occupancy
Fe1 0.0000 0.0000 0.0000 1
Rh1 0.9996 0.5000 0.4704 1
Rh2 0.2274 0.5000 0.1196 1
Pb1 0.2487 0.0000 0.6413 1

No. 10
# PBE FeRhPb2, relaxed
# ρ	11.8	g cm⁻³
# DOS(E_F)	13.64	states/eV per cell
# energy of formation from the pure elements	429	meV/atom
# energy above the lowest structure with this stoichiometry	0.281	eV per atom
data_FeRhPb2
_chemical_formula_sum 'Fe3 Rh3 Pb6'
_space_group_name_H-M_alt 'R -3 m'
_space_group_IT_number 166
_space_group_name_Hall '-R 3 2"'
_cell_length_a 3.3133
_cell_length_b 3.3133
_cell_length_c 25.4738
_cell_angle_alpha 90.00
_cell_angle_beta 90.00
_cell_angle_gamma 120.00
loop_
_atom_site_label
_atom_site_fract_x
_atom_site_fract_y
_atom_site_fract_z
_atom_site_occupancy
Fe1 0.0000 0.0000 0.0000 1
Rh1 0.0000 0.0000 0.5000 1
Pb1 0.0000 0.0000 0.2486 1

No. 11
# PBE FeRh2Pb, relaxed
# ρ	11.4	g cm⁻³
# DOS(E_F)	10.07	states/eV per cell
# energy of formation from the pure elements	248	meV/atom
data_FeRh2Pb
_chemical_formula_sum 'Fe3 Rh6 Pb3'
_space_group_name_H-M_alt 'R -3 m'
_space_group_IT_number 166
_space_group_name_Hall '-R 3 2"'
_cell_length_a 3.0745
_cell_length_b 3.0745
_cell_length_c 24.9923
_cell_angle_alpha 90.00
_cell_angle_beta 90.00
_cell_angle_gamma 120.00
loop_
_atom_site_label
_atom_site_fract_x
_atom_site_fract_y
_atom_site_fract_z
_atom_site_occupancy
Fe1 0.0000 0.0000 0.0000 1
Rh1 0.0000 0.0000 0.2594 1
Pb1 0.0000 0.0000 0.5000 1

No. 12
# PBE FeRhPb2, relaxed
# ρ	10.7	g cm⁻³
# DOS(E_F)	14.60	states/eV per cell
# energy of formation from the pure elements	606	meV/atom
# energy above the lowest structure with this stoichiometry	0.458	eV per atom
data_FeRhPb2
_chemical_formula_sum 'Fe4 Rh4 Pb8'
_space_group_name_H-M_alt 'I -4 2 d'
_space_group_IT_number 122
_space_group_name_Hall 'I -4 2bw'
_cell_length_a 4.4141
_cell_length_b 4.4141
_cell_length_c 18.2808
_cell_angle_alpha 90.00
_cell_angle_beta 90.00
_cell_angle_gamma 90.00
loop_
_atom_site_label
_atom_site_fract_x
_atom_site_fract_y
_atom_site_fract_z
_atom_site_occupancy
Fe1 0.0000 0.0000 0.0000 1
Rh1 0.0000 0.0000 0.5000 1
Pb1 0.2491 0.2500 0.1250 1